[1]
VASP calculation (PBE-GGA) on a geometry-optimized Pa3Si4Tc2 structure.

It has space group C2/m (No. 12), with a = 10.389 Å, b = 4.234 Å, c = 8.093 Å, α = 90.00°, β = 107.12° and γ = 90.00°. The asymmetric unit holds Pa at (0.000, 0.000, 0.000), Pa at (0.126, 0.500, 0.699), Si at (0.089, 0.000, 0.404), Si at (0.215, 0.500, 0.071) and Tc at (0.187, 0.500, 0.358).

The total energy comes out at -8.471 eV/atom. As for the density: 9.77 g/cm3.



[2]
VASP calculation (PBE-GGA) on a geometry-optimized MgWBr2 structure.

It has space group P2/m (No. 10), with a = 3.152 Å, b = 4.437 Å, c = 5.978 Å, α = 90.00°, β = 96.97° and γ = 90.00°. The asymmetric unit holds Mg at (0.000, 0.000, 0.000), W at (0.500, 0.000, 0.500) and Br at (0.386, 0.500, 0.256).

The total energy comes out at -4.015 eV/atom. As for the density: 7.36 g/cm3.



[3]
VASP calculation (PBE-GGA) on a geometry-optimized AlRe4Rh structure.

It has space group F-43m (No. 216), with a = 7.284 Å, b = 7.284 Å, c = 7.284 Å, α = 90.00°, β = 90.00° and γ = 90.00°. The asymmetric unit holds Al at (0.000, 0.000, 0.000), Re at (0.125, 0.125, 0.625) and Rh at (0.250, 0.250, 0.250).

The total energy comes out at -9.752 eV/atom. As for the density: 15.03 g/cm3. The calculation puts the energy of formation at 38.2 kJ per mole of atoms.



[4]
VASP calculation (PBE-GGA) on a geometry-optimized CaTb2UN4 structure.

It has space group P2/m (No. 10), with a = 5.986 Å, b = 3.500 Å, c = 5.997 Å, α = 90.00°, β = 108.57° and γ = 90.00°. The asymmetric unit holds Ca at (0.000, 0.000, 0.000), Tb at (0.000, 0.500, 0.500), Tb at (0.500, 0.000, 0.500), U at (0.500, 0.500, 0.000), N at (0.264, 0.000, 0.757) and N at (0.280, 0.500, 0.237).

The total energy comes out at -8.446 eV/atom. As for the density: 9.09 g/cm3.



[5]
VASP calculation (PBE-GGA) on a geometry-optimized Ce3Mn5Se12 structure.

It has space group Ia-3d (No. 230), with a = 15.839 Å, b = 15.839 Å, c = 15.839 Å, α = 90.00°, β = 90.00° and γ = 90.00°. The asymmetric unit holds Ce at (0.000, 0.250, 0.125), Mn at (0.000, 0.000, 0.000), Mn at (0.000, 0.250, 0.375) and Se at (0.026, 0.061, 0.649).

The total energy comes out at -6.228 eV/atom. As for the density: 5.49 g/cm3.



[6]
VASP calculation (PBE-GGA) on a geometry-optimized MnBe2Fe structure.

It has space group C2/m (No. 12), with a = 7.638 Å, b = 2.340 Å, c = 4.361 Å, α = 90.00°, β = 97.12° and γ = 90.00°. The asymmetric unit holds Mn at (0.000, 0.000, 0.000), Be at (0.249, 0.000, 0.747) and Fe at (0.000, 0.500, 0.500).

The total energy comes out at -6.248 eV/atom. As for the density: 5.53 g/cm3. The calculation puts the energy of formation at 2.2 kJ per mole of atoms.



Q: What is the density in the first record?
A: 9.77 g/cm3